Entry from Alexandria: an optimized crystal structure of CaLuRu (PBE).

Values from the calculation:
Space group ... I4mm, No. 107
Calculated density ... 7.1 g/cm³
Volume ... 74.2 Å³ per cell
Total DFT energy (no corrections) ... -0.19985 Ha/atom
Energy of formation ... -172 meV/atom

a b c (Å): 6.7675 6.7675 6.7675
angles (deg): 150.67 150.67 41.96
Sites, in units of the cell vectors:
1 Ca 0.0000 0.0000 0.0000
2 Lu 0.2568 0.2568 0.0000
3 Ru 0.6475 0.6475 0.0000